Record 1
First-principles (GGA-PBE) data for CrP2 after structural relaxation, as listed in Alexandria via LeMat-Bulk.

As for the space-group type: I4_1/amd. The calculation puts the energy relative to the elements at -0.038 eV/atom. The calculation puts the total magnetic moment at 0.0003 μB per atom.

Cell and atoms, written as POSCAR:
```
CrP2
1.0
-1.4245 1.4245 9.8114
1.4245 -1.4245 9.8114
1.4245 1.4245 -9.8114
Cr P
2 4
Direct
0.3750 0.6250 0.7500
0.6250 0.3750 0.2500
0.0567 0.8067 0.2500
0.1933 0.9433 0.2500
0.8067 0.0567 0.7500
0.9433 0.1933 0.7500
```

=====

Record 2
First-principles (GGA-PBE) data for CeYGa2Pd5 after structural relaxation, as listed in Alexandria via LeMat-Bulk.

As for the space-group type: P4/mmm. The calculation puts the energy relative to the elements at -0.780 eV/atom. The calculation puts the total magnetic moment at 0.0322 μB per atom.

Cell and atoms, written as POSCAR:
```
CeYGa2Pd5
1.0
4.2257 0.0000 0.0000
0.0000 4.2257 0.0000
0.0000 0.0000 9.2770
Ce Y Ga Pd
1 1 2 5
Direct
0.0000 0.0000 0.0000
0.0000 0.0000 0.5000
0.5000 0.5000 0.3667
0.5000 0.5000 0.6333
0.0000 0.5000 0.2208
0.0000 0.5000 0.7792
0.5000 0.0000 0.2208
0.5000 0.0000 0.7792
0.5000 0.5000 0.0000
```

=====

Record 3
First-principles (GGA-PBE) data for ThCd3Ag2 after structural relaxation, as listed in Alexandria via LeMat-Bulk.

As for the space-group type: C2/m. The calculation puts the energy relative to the elements at -0.084 eV/atom. The calculation puts the total magnetic moment at 0.0000 μB per atom.

Cell and atoms, written as POSCAR:
```
ThCd3Ag2
1.0
8.4372 -2.3245 0.0000
8.4372 2.3245 0.0000
-2.5798 0.0000 7.0142
Th Cd Ag
2 6 4
Direct
0.1169 0.1169 0.1789
0.8831 0.8831 0.8211
0.0695 0.0695 0.6857
0.3050 0.3050 0.0734
0.3702 0.3702 0.4954
0.6298 0.6298 0.5046
0.6950 0.6950 0.9266
0.9305 0.9305 0.3143
0.2376 0.2376 0.6588
0.4835 0.4835 0.1684
0.5165 0.5165 0.8316
0.7624 0.7624 0.3412
```

=====

Record 4
First-principles (GGA-PBE) data for PrTh2Rh3 after structural relaxation, as listed in Alexandria via LeMat-Bulk.

As for the space-group type: Fddd. The calculation puts the energy relative to the elements at -0.794 eV/atom. The calculation puts the total magnetic moment at 0.0000 μB per atom.

Cell and atoms, written as POSCAR:
```
PrTh2Rh3
1.0
0.0000 5.8107 12.3170
4.1235 0.0000 12.3170
4.1235 5.8107 0.0000
Pr Th Rh
4 8 12
Direct
0.0413 0.0413 0.2087
0.2087 0.2087 0.0413
0.7913 0.7913 0.9587
0.9587 0.9587 0.7913
0.1251 0.1251 0.6249
0.2921 0.2921 0.4579
0.3751 0.3751 0.8749
0.4579 0.4579 0.2921
0.5421 0.5421 0.7079
0.6249 0.6249 0.1251
0.7079 0.7079 0.5421
0.8749 0.8749 0.3751
0.0446 0.5433 0.2180
0.1341 0.6159 0.6159
0.2180 0.6940 0.0446
0.3060 0.7820 0.4567
0.3841 0.8659 0.8659
0.4567 0.9554 0.3060
0.5433 0.0446 0.6940
0.6159 0.1341 0.1341
0.6940 0.2180 0.5433
0.7820 0.3060 0.9554
0.8659 0.3841 0.3841
0.9554 0.4567 0.7820
```